Below is a relaxed structure of CoSiO3, with properties calculated at the GGA+U level.

Results
E: -5.354 eV/atom
size of the total moment: 0.01 Bohr magnetons per cell
space-group type: Pm-3m

Cell and atoms, written as POSCAR:
```
CoSiO3
1.0
3.620 0.000 0.000
0.000 3.620 0.000
0.000 0.000 3.620
Co Si O
1 1 3
Direct
0.000 0.000 0.000
0.500 0.500 0.500
0.000 0.000 0.500
0.000 0.500 0.000
0.500 0.000 0.000
```